1.
A crystal of InCuRe2 relaxed with PBEsol. Source: Alexandria, functional meta-GGA SCAN.

The density of states at the Fermi level is 0.7979 states/eV/atom.

The space group is P4/mmm (No. 123) and the conventional cell measures 3.728, 3.728 and 4.387 Å, with angles of 90.00, 90.00 and 90.00 degrees. Symmetry generates all atoms from In at (0.000, 0.000, 0.000), Cu at (0.500, 0.500, 0.000) and Re at (0.000, 0.500, 0.500).

=====

2.
A crystal of AlAgP2 relaxed with PBEsol. Source: Alexandria, functional meta-GGA SCAN.

The space group is Pna2_1 (No. 33) and the conventional cell measures 5.517, 7.851 and 6.978 Å, with angles of 90.00, 90.00 and 90.00 degrees. Symmetry generates all atoms from Al at (0.163, 0.100, 0.000), Ag at (0.021, 0.696, 0.963), P at (0.057, 0.376, 0.127) and P at (0.139, 0.065, 0.659).

=====

3.
A crystal of AlPtRh relaxed with PBEsol. Source: Alexandria, functional meta-GGA SCAN.

The density of states at the Fermi level is 0.4015 states/eV/atom.

The space group is I4mm (No. 107) and the conventional cell measures 2.851, 2.851 and 10.209 Å, with angles of 90.00, 90.00 and 90.00 degrees. Symmetry generates all atoms from Al at (0.000, 0.000, 0.000), Pt at (0.000, 0.000, 0.659) and Rh at (0.000, 0.000, 0.354).

=====

4.
A crystal of V3As2 relaxed with PBEsol. Source: Alexandria, functional meta-GGA SCAN.

The density of states at the Fermi level is 0.4250 states/eV/atom.

The space group is P4/m (No. 83) and the conventional cell measures 9.311, 9.311 and 3.246 Å, with angles of 90.00, 90.00 and 90.00 degrees. Symmetry generates all atoms from V at (0.000, 0.000, 0.000), V at (0.000, 0.500, 0.000), V at (0.102, 0.783, 0.500), V at (0.323, 0.365, 0.000), V at (0.500, 0.500, 0.500), As at (0.090, 0.255, 0.000) and As at (0.213, 0.536, 0.500).

=====

5.
A crystal of Te4Rh3 relaxed with PBEsol. Source: Alexandria, functional meta-GGA SCAN.

As for the uncorrected formation energy: -497 meV per atom. The density of states at the Fermi level is 0.5197 states/eV/atom.

The space group is C2/m (No. 12) and the conventional cell measures 12.659, 4.000 and 6.810 Å, with angles of 90.00, 119.80 and 90.00 degrees. Symmetry generates all atoms from Te at (0.119, 0.000, 0.457), Te at (0.135, 0.500, 0.981), Rh at (0.000, 0.000, 0.000) and Rh at (0.236, 0.500, 0.721).

=====

6.
A crystal of LiCuSbO4 relaxed with PBEsol. Source: Alexandria, functional meta-GGA SCAN.

As for the uncorrected formation energy: -1546 meV per atom.

The space group is Cmc2_1 (No. 36) and the conventional cell measures 5.719, 10.968 and 9.804 Å, with angles of 90.00, 90.00 and 90.00 degrees. Symmetry generates all atoms from Li at (0.000, 0.001, 0.000), Li at (0.000, 0.367, 0.430), Cu at (0.249, 0.409, 0.731), Sb at (0.000, 0.167, 0.727), Sb at (0.000, 0.309, 0.999), O at (0.000, 0.002, 0.810), O at (0.000, 0.154, 0.108), O at (0.000, 0.328, 0.633), O at (0.000, 0.453, 0.869), O at (0.229, 0.227, 0.867) and O at (0.245, 0.104, 0.599).

=====

7.
A crystal of LaGd3 relaxed with PBEsol. Source: Alexandria, functional meta-GGA SCAN.

The density of states at the Fermi level is 1.2964 states/eV/atom.

The space group is I4/mmm (No. 139) and the conventional cell measures 4.992, 4.992 and 10.005 Å, with angles of 90.00, 90.00 and 90.00 degrees. Symmetry generates all atoms from La at (0.000, 0.000, 0.000), Gd at (0.000, 0.000, 0.500) and Gd at (0.000, 0.500, 0.250).

=====

8.
A crystal of LiMg relaxed with PBEsol. Source: Alexandria, functional meta-GGA SCAN.

The density of states at the Fermi level is 0.3575 states/eV/atom.

The space group is P6_3/mmc (No. 194) and the conventional cell measures 3.0887, 3.0887 and 9.9679 Å, with angles of 90.00, 90.00 and 120.00 degrees. Symmetry generates all atoms from Li at (0.3333, 0.6667, 0.2500) and Mg at (0.0000, 0.0000, 0.0000).

=====

9.
A crystal of BaCN2 relaxed with PBEsol. Source: Alexandria, functional meta-GGA SCAN.

As for the uncorrected formation energy: -922 meV per atom. The density of states at the Fermi level is 0.0000 states/eV/atom.

The space group is R-3m (No. 166, hexagonal axes) and the conventional cell measures 4.2728, 4.2728 and 15.3445 Å, with angles of 90.00, 90.00 and 120.00 degrees. Symmetry generates all atoms from Ba at (0.0000, 0.0000, 0.0000), C at (0.0000, 0.0000, 0.5000) and N at (0.0000, 0.0000, 0.4192).

=====

10.
A crystal of LiNbOsPb2 relaxed with PBEsol. Source: Alexandria, functional meta-GGA SCAN.

The density of states at the Fermi level is 0.6341 states/eV/atom.

The space group is P4/mmm (No. 123) and the conventional cell measures 5.474, 5.474 and 4.727 Å, with angles of 90.00, 90.00 and 90.00 degrees. Symmetry generates all atoms from Li at (0.000, 0.000, 0.000), Nb at (0.500, 0.500, 0.500), Os at (0.500, 0.500, 0.000) and Pb at (0.000, 0.500, 0.500).

=====

11.
A crystal of Lu2Fe17C3 relaxed with PBEsol. Source: Alexandria, functional meta-GGA SCAN.

The density of states at the Fermi level is 0.5380 states/eV/atom.

The space group is R-3m (No. 166, hexagonal axes) and the conventional cell measures 8.3741, 8.3741 and 12.2549 Å, with angles of 90.00, 90.00 and 120.00 degrees. Symmetry generates all atoms from Lu at (0.0000, 0.0000, 0.1582), Fe at (0.0000, 0.0000, 0.4037), Fe at (0.0000, 0.2820, 0.5000), Fe at (0.0000, 0.5000, 0.0000), Fe at (0.0026, 0.5013, 0.3474) and C at (0.0000, 0.5000, 0.5000).

=====

12.
A crystal of MgAg2Au relaxed with PBEsol. Source: Alexandria, functional meta-GGA SCAN.

The density of states at the Fermi level is 0.2778 states/eV/atom.

The space group is Cmmm (No. 65) and the conventional cell measures 5.668, 7.959 and 3.027 Å, with angles of 90.00, 90.00 and 90.00 degrees. Symmetry generates all atoms from Mg at (0.000, 0.000, 0.000), Ag at (0.250, 0.250, 0.500) and Au at (0.000, 0.500, 0.000).

=====

13.
A crystal of Tc2PtCl relaxed with PBEsol. Source: Alexandria, functional meta-GGA SCAN.

As for the uncorrected formation energy: 547 meV per atom. The density of states at the Fermi level is 1.0124 states/eV/atom.

The space group is P4/mmm (No. 123) and the conventional cell measures 2.924, 2.924 and 6.512 Å, with angles of 90.00, 90.00 and 90.00 degrees. Symmetry generates all atoms from Tc at (0.000, 0.000, 0.232), Pt at (0.500, 0.500, 0.500) and Cl at (0.500, 0.500, 0.000).

=====

14.
A crystal of Be2CuSe relaxed with PBEsol. Source: Alexandria, functional meta-GGA SCAN.

As for the uncorrected formation energy: -7 meV per atom. The density of states at the Fermi level is 0.1492 states/eV/atom.

The space group is Amm2 (No. 38) and the conventional cell measures 3.372, 3.372 and 9.791 Å, with angles of 90.00, 90.00 and 90.00 degrees. Symmetry generates all atoms from Be at (0.000, 0.000, 0.000), Be at (0.500, 0.000, 0.493), Cu at (0.500, 0.000, 0.847) and Se at (0.000, 0.000, 0.650).

=====

15.
A crystal of RbPCl2 relaxed with PBEsol. Source: Alexandria, functional meta-GGA SCAN.

As for the uncorrected formation energy: -329 meV per atom. The density of states at the Fermi level is 1.4098 states/eV/atom.

The space group is Fm-3m (No. 225) and the conventional cell measures 7.349, 7.349 and 7.349 Å, with angles of 90.00, 90.00 and 90.00 degrees. Symmetry generates all atoms from Rb at (0.000, 0.000, 0.000), P at (0.000, 0.000, 0.500) and Cl at (0.250, 0.250, 0.250).

=====

16.
A crystal of ZrFeRu2C relaxed with PBEsol. Source: Alexandria, functional meta-GGA SCAN.

The density of states at the Fermi level is 0.4709 states/eV/atom.

The space group is P4/mmm (No. 123) and the conventional cell measures 4.038, 4.038 and 3.836 Å, with angles of 90.00, 90.00 and 90.00 degrees. Symmetry generates all atoms from Zr at (0.000, 0.000, 0.000), Fe at (0.500, 0.500, 0.000), Ru at (0.000, 0.500, 0.500) and C at (0.500, 0.500, 0.500).

=====

17.
A crystal of Sb2AuSe relaxed with PBEsol. Source: Alexandria, functional meta-GGA SCAN.

As for the uncorrected formation energy: 211 meV per atom. The density of states at the Fermi level is 0.5246 states/eV/atom.

The space group is Cmmm (No. 65) and the conventional cell measures 4.584, 5.121 and 7.484 Å, with angles of 90.00, 90.00 and 90.00 degrees. Symmetry generates all atoms from Sb at (0.000, 0.000, 0.241), Au at (0.000, 0.500, 0.000) and Se at (0.000, 0.500, 0.500).

=====

18.
A crystal of MgFe2Co relaxed with PBEsol. Source: Alexandria, functional meta-GGA SCAN.

The density of states at the Fermi level is 0.9259 states/eV/atom.

The space group is Fm-3m (No. 225) and the conventional cell measures 5.793, 5.793 and 5.793 Å, with angles of 90.00, 90.00 and 90.00 degrees. Symmetry generates all atoms from Mg at (0.000, 0.000, 0.000), Fe at (0.250, 0.250, 0.250) and Co at (0.000, 0.000, 0.500).

=====

19.
A crystal of SrTe2S relaxed with PBEsol. Source: Alexandria, functional meta-GGA SCAN.

As for the uncorrected formation energy: -493 meV per atom. The density of states at the Fermi level is 0.3701 states/eV/atom.

The space group is I-42d (No. 122) and the conventional cell measures 6.239, 6.239 and 15.813 Å, with angles of 90.00, 90.00 and 90.00 degrees. Symmetry generates all atoms from Sr at (0.000, 0.000, 0.000), Te at (0.151, 0.250, 0.625) and S at (0.000, 0.000, 0.500).

=====

20.
A crystal of SrTlZn relaxed with PBEsol. Source: Alexandria, functional meta-GGA SCAN.

The density of states at the Fermi level is 0.4456 states/eV/atom.

The space group is P-6m2 (No. 187) and the conventional cell measures 4.8334, 4.8334 and 3.9250 Å, with angles of 90.00, 90.00 and 120.00 degrees. Symmetry generates all atoms from Sr at (0.0000, 0.0000, 0.0000), Tl at (0.3333, 0.6667, 0.5000) and Zn at (0.6667, 0.3333, 0.5000).

=====

21.
A crystal of Mg5In4 relaxed with PBEsol. Source: Alexandria, functional meta-GGA SCAN.

The density of states at the Fermi level is 0.3941 states/eV/atom.

The space group is I4/mmm (No. 139) and the conventional cell measures 9.486, 9.486 and 4.537 Å, with angles of 90.00, 90.00 and 90.00 degrees. Symmetry generates all atoms from Mg at (0.000, 0.000, 0.000), Mg at (0.167, 0.167, 0.500) and In at (0.000, 0.325, 0.000).

=====

22.
A crystal of Ag2AsP relaxed with PBEsol. Source: Alexandria, functional meta-GGA SCAN.

The density of states at the Fermi level is 0.3907 states/eV/atom.

The space group is C2/m (No. 12) and the conventional cell measures 8.139, 3.274 and 5.298 Å, with angles of 90.00, 103.83 and 90.00 degrees. Symmetry generates all atoms from Ag at (0.246, 0.000, 0.232), As at (0.000, 0.000, 0.500) and P at (0.000, 0.500, 0.000).

=====

23.
A crystal of TaAg3 relaxed with PBEsol. Source: Alexandria, functional meta-GGA SCAN.

The density of states at the Fermi level is 0.5526 states/eV/atom.

The space group is P-1 (No. 2) and the conventional cell measures 2.747, 4.949 and 5.142 Å, with angles of 96.61, 90.07 and 105.92 degrees. Symmetry generates all atoms from Ta at (0.000, 0.000, 0.000), Ag at (0.251, 0.501, 0.753) and Ag at (0.500, 0.000, 0.500).

=====

24.
A crystal of BeOsBr2 relaxed with PBEsol. Source: Alexandria, functional meta-GGA SCAN.

As for the uncorrected formation energy: 1603 meV per atom. The density of states at the Fermi level is 0.6781 states/eV/atom.

The space group is I-4m2 (No. 119) and the conventional cell measures 3.977, 3.977 and 8.232 Å, with angles of 90.00, 90.00 and 90.00 degrees. Symmetry generates all atoms from Be at (0.000, 0.000, 0.000), Os at (0.000, 0.500, 0.750), Br at (0.000, 0.000, 0.500) and Br at (0.000, 0.500, 0.250).

=====

25.
A crystal of IrPdW3 relaxed with PBEsol. Source: Alexandria, functional meta-GGA SCAN.

The density of states at the Fermi level is 0.8206 states/eV/atom.

The space group is Pm-3m (No. 221) and the conventional cell measures 4.670, 4.670 and 4.670 Å, with angles of 90.00, 90.00 and 90.00 degrees. Symmetry generates all atoms from Ir at (0.000, 0.000, 0.000), Pd at (0.500, 0.500, 0.500) and W at (0.000, 0.000, 0.500).

=====

Record-wise calculated volume values, in Å³ per atom: 15.2, 18.9, 13.8, 14.1, 21.4, 11.0, 31.2, 20.6, 20.2, 28.3, 11.3, 17.1, 13.9, 13.9, 24.8, 12.5, 22.0, 12.2, 38.5, 26.5, 22.7, 17.1, 16.7, 16.3, 20.4
Record-wise VASP energy values, in eV per atom: -47.11, -15.17, -38.13, -19.15, -36.26, -12.94, -54.82, -3.71, -17.98, -50.88, -20.50, -34.41, -36.53, -11.00, -12.10, -25.99, -40.73, -14.47, -27.09, -36.49, -17.73, -22.98, -39.84, -27.18, -60.58